VASP calculation (PBE) on a geometry-optimized NaYI2O8 structure.

Its total magnetization is 0.00 μB/f.u. The calculation puts the theoretical density at 4863 kg/m3. The value obtained for the uncorrected formation energy is -12.36 eV per formula unit.

Cell lengths 5.3317, 5.3317, 7.0269 Å; angles 112.30, 112.30, 90.00 degrees
With the nearest neighbours (Å) after each atom.
Sites, in units of the cell vectors:
Na 0.0000 0.0000 0.0000  8 O 2.45-2.58
Y 0.7500 0.2500 0.5000  4 O 2.28
I 0.5000 0.5000 0.0000  4 O 1.83
I 0.2500 0.7500 0.5000  4 O 1.97
O 0.7456 0.8231 0.1615  1 I 1.83
O 0.4160 0.3384 0.1615  1 I 1.83
O 0.5948 0.6420 0.6568  1 I 1.97
O 0.0620 0.0148 0.6568  1 I 1.97
O 0.9852 0.4052 0.3432  1 I 1.97
O 0.3580 0.9380 0.3432  1 I 1.97
O 0.1769 0.5840 0.8385  1 I 1.83
O 0.6616 0.2544 0.8385  1 I 1.83